VASP calculation (PBE) on crystalline CdInICl2 at its relaxed geometry.

a b c (Å): 5.6861 7.9128 8.7047
angles (deg): 96.43 90.00 90.00
Fractional coordinates of all 10 atoms:
I 0.7500 0.4389 0.2578
I 0.2500 0.5611 0.7422
In 0.7500 0.2586 0.6187
In 0.2500 0.7414 0.3813
Cl 0.7500 0.9202 0.3758
Cl 0.7500 0.9631 0.8776
Cl 0.2500 0.0798 0.6242
Cl 0.2500 0.0369 0.1224
Cd 0.7500 0.0986 0.1546
Cd 0.2500 0.9014 0.8454

Values from the calculation:
**E_form (uncorrected)**: -0.81 eV per atom
**Space group**: No. 11
**Size of the total moment**: 0.00 μB per atom

VASP calculation (PBE) on crystalline LuInGe2 at its relaxed geometry.

a b c (Å): 4.5839 4.5839 7.7962
angles (deg): 72.90 72.90 60.00
Fractional coordinates of all 4 atoms:
Ge 0.1193 0.1193 0.6420
Ge 0.8807 0.8807 0.3580
In 0.0000 0.0000 0.0000
Lu 0.5000 0.5000 0.5000

Values from the calculation:
**Energy of formation**: 0.2301 eV per atom
**Space group**: No. 166
**Size of the total moment**: 0.00 μB per atom

VASP calculation (PBE) on crystalline POs2Br at its relaxed geometry.

a b c (Å): 2.9148 2.9148 10.0846
angles (deg): 90.00 90.00 121.71
Fractional coordinates of all 4 atoms:
Os 0.0000 0.0000 0.0218
Os 0.5000 0.5000 0.2462
Br 0.5000 0.5000 0.8000
P 0.0000 0.0000 0.4319

Values from the calculation:
**E_form (uncorrected)**: 0.82 eV per atom
**Space group**: No. 35
**Size of the total moment**: 0.00 μB per atom

VASP calculation (PBE) on crystalline BaSF2 at its relaxed geometry.

a b c (Å): 4.7524 4.7524 4.7524
angles (deg): 60.00 60.00 60.00
Site moments in Bohr magnetons follow the coordinates.
Fractional coordinates of all 4 atoms:
S 0.0000 0.0000 0.0000  0.98
Ba 0.5000 0.5000 0.5000  0.02
F 0.2500 0.2500 0.2500  0.19
F 0.7500 0.7500 0.7500  0.19

Values from the calculation:
**E_form (uncorrected)**: -1.99 eV per atom
**Space group**: No. 225
**Size of the total moment**: 0.50 μB per atom

VASP calculation (PBE) on crystalline UMn3Pd12 at its relaxed geometry.

a b c (Å): 4.0061 4.0061 15.7135
angles (deg): 90.00 90.00 90.00
Site moments in Bohr magnetons follow the coordinates.
Fractional coordinates of all 16 atoms:
Pd 0.5000 0.5000 0.7447  -0.07
Pd 0.5000 0.5000 0.5000  0.08
Pd 0.0000 0.5000 0.8704  0.00
Pd 0.5000 0.0000 0.3782  0.00
Pd 0.5000 0.5000 0.0000  0.04
Pd 0.5000 0.0000 0.1296  0.00
Pd 0.5000 0.0000 0.8704  0.00
Pd 0.0000 0.5000 0.3782  0.00
Pd 0.5000 0.5000 0.2553  -0.07
Pd 0.0000 0.5000 0.1296  0.00
Pd 0.0000 0.5000 0.6218  0.00
Pd 0.5000 0.0000 0.6218  0.00
U 0.0000 0.0000 0.0000  -1.30
Mn 0.0000 0.0000 0.2591  -3.98
Mn 0.0000 0.0000 0.7409  -3.98
Mn 0.0000 0.0000 0.5000  3.89

Values from the calculation:
**Energy of formation**: -0.3083 eV per atom
**Space group**: No. 123
**Size of the total moment**: 0.35 μB per atom

VASP calculation (PBE) on crystalline BaTi2V at its relaxed geometry.

a b c (Å): 3.5316 4.1493 14.0860
angles (deg): 92.73 90.15 90.00
Fractional coordinates of all 8 atoms:
V 0.2500 0.7491 0.0011
V 0.7500 0.2509 0.9989
Ti 0.2517 0.2170 0.1386
Ti 0.7483 0.7830 0.8614
Ti 0.2483 0.2838 0.8542
Ti 0.7517 0.7162 0.1458
Ba 0.7478 0.7729 0.6312
Ba 0.2522 0.2271 0.3688

Values from the calculation:
**Energy of formation**: 0.2741 eV per atom
**Space group**: No. 2
**Size of the total moment**: 0.00 μB per atom